Material: TaGaCo3
Method: DFT, PBE
State: relaxed

Results
E above lowest polymorph, kJ per mole of atoms: 0.00
Mass density, g cm⁻³: 10.58

abc: 5.7230 5.7230 4.7296
angles: 90.00 90.00 120.00
Last column: nearest neighbours and their distance in Å.
Fractional coordinates of all 10 atoms:
Ta: 0.3333 0.6667 0.2500  12 Co 2.71-2.88
Ta: 0.6667 0.3333 0.7500  12 Co 2.71-2.88
Ga: 0.0000 0.0000 0.0000  6 Co 2.31, 2 Ga 2.36
Ga: 0.0000 0.0000 0.5000  6 Co 2.31, 2 Ga 2.36
Co: 0.2005 0.4010 0.7500  2 Co 2.28, 2 Ga 2.31
Co: 0.2005 0.7995 0.7500  2 Co 2.28, 2 Ga 2.31
Co: 0.4010 0.2005 0.2500  2 Co 2.28, 2 Ga 2.31
Co: 0.5990 0.7995 0.7500  2 Co 2.28, 2 Ga 2.31
Co: 0.7995 0.2005 0.2500  2 Co 2.28, 2 Ga 2.31
Co: 0.7995 0.5990 0.2500  2 Co 2.28, 2 Ga 2.31


Material: TaGa2Co
Method: DFT, PBE
State: relaxed

Results
Mass density, g cm⁻³: 9.50

abc: 9.5815 9.5815 9.5815
angles: 17.10 17.10 17.10
Last column: nearest neighbours and their distance in Å.
Fractional coordinates of all 4 atoms:
Ta: 0.0000 0.0000 0.0000  6 Ga 2.85, 6 Ta 2.85
Ga: 0.4154 0.4154 0.4154  1 Co 2.40
Ga: 0.5846 0.5846 0.5846  1 Co 2.40
Co: 0.5000 0.5000 0.5000  2 Ga 2.40


Material: Ta2GaCo
Method: DFT, PBE
State: relaxed

Results
Mass density, g cm⁻³: 12.22

abc: 5.6448 5.6448 5.6448
angles: 103.53 103.53 122.15
Last column: nearest neighbours and their distance in Å.
Fractional coordinates of all 8 atoms:
Ta: 0.0886 0.6250 0.9636  2 Co 2.40
Ta: 0.3750 0.3386 0.4636  2 Co 2.40
Ta: 0.6614 0.1250 0.0364  2 Co 2.40
Ta: 0.8750 0.9114 0.5364  2 Co 2.40
Ga: 0.2500 0.7500 0.5000  2 Co 2.73, 4 Ta 2.74
Ga: 0.5000 0.5000 0.0000  2 Co 2.73, 4 Ta 2.74
Co: 0.0000 0.0000 0.0000  4 Ta 2.40
Co: 0.7500 0.2500 0.5000  4 Ta 2.40


Material: TaGa2Co
Method: DFT, PBE
State: relaxed

Results
Mass density, g cm⁻³: 10.68

abc: 4.3697 4.3697 4.3697
angles: 60.00 60.00 60.00
Last column: nearest neighbours and their distance in Å.
Fractional coordinates of all 4 atoms:
Ta: 0.0000 0.0000 0.0000  8 Ga 2.68
Ga: 0.2500 0.2500 0.2500  4 Ta 2.68, 4 Co 2.68
Ga: 0.7500 0.7500 0.7500  4 Co 2.68, 4 Ta 2.68
Co: 0.5000 0.5000 0.5000  8 Ga 2.68


Material: TaGa2Co3
Method: DFT, PBE
State: relaxed

Results
E above lowest polymorph, kJ per mole of atoms: 0.00
Mass density, g cm⁻³: 10.73

abc: 4.1611 4.1611 5.1326
angles: 90.00 90.00 120.00
Last column: nearest neighbours and their distance in Å.
Fractional coordinates of all 6 atoms:
Ta: 0.0000 0.0000 0.0000  8 Co 2.55-2.57
Ga: 0.3333 0.6667 0.6673  8 Co 2.55-2.57
Ga: 0.6667 0.3333 0.3327  8 Co 2.55-2.57
Co: 0.0000 0.0000 0.5000  6 Ga 2.55, 2 Ta 2.57
Co: 0.3333 0.6667 0.1664  5 Ga 2.55-2.57, 3 Ta 2.55
Co: 0.6667 0.3333 0.8336  5 Ga 2.55-2.57, 3 Ta 2.55


Material: TaGa2Co2
Method: DFT, PBE
State: relaxed

Results
E above lowest polymorph, kJ per mole of atoms: 0.00
Mass density, g cm⁻³: 10.85

abc: 7.0585 7.0585 2.6930
angles: 90.00 90.00 90.00
Last column: nearest neighbours and their distance in Å.
Fractional coordinates of all 10 atoms:
Ta: 0.0000 0.0000 0.0000  2 Ta 2.69, 4 Ga 2.78, 8 Co 2.94
Ta: 0.5000 0.5000 0.0000  2 Ta 2.69, 4 Ga 2.78, 8 Co 2.94
Ga: 0.1277 0.3723 0.0000  6 Co 2.42-2.52, 3 Ga 2.55-2.69
Ga: 0.3723 0.8723 0.0000  6 Co 2.42-2.52, 3 Ga 2.55-2.69
Ga: 0.6277 0.1277 0.0000  6 Co 2.42-2.52, 3 Ga 2.55-2.69
Ga: 0.8723 0.6277 0.0000  6 Co 2.42-2.52, 3 Ga 2.55-2.69
Co: 0.1712 0.6712 0.5000  6 Ga 2.42-2.52, 2 Co 2.69
Co: 0.3288 0.1712 0.5000  6 Ga 2.42-2.52, 2 Co 2.69
Co: 0.6712 0.8288 0.5000  6 Ga 2.42-2.52, 2 Co 2.69
Co: 0.8288 0.3288 0.5000  6 Ga 2.42-2.52, 2 Co 2.69


Material: Ta4Ga2Co
Method: DFT, PBE
State: relaxed

Results
Mass density, g cm⁻³: 11.27

abc: 7.6885 7.6885 7.6885
angles: 146.78 146.78 47.69
Last column: nearest neighbours and their distance in Å.
Fractional coordinates of all 7 atoms:
Ta: 0.0000 0.5000 0.5000  2 Co 2.20
Ta: 0.1704 0.1704 0.0000  1 Co 2.40
Ta: 0.5000 0.0000 0.5000  2 Co 2.20
Ta: 0.8296 0.8296 0.0000  1 Co 2.40
Ga: 0.3615 0.3615 0.0000  5 Ta 2.69-2.94
Ga: 0.6385 0.6385 0.0000  5 Ta 2.69-2.94
Co: 0.0000 0.0000 0.0000  6 Ta 2.20-2.40


Material: TaGaCo3
Method: DFT, PBE
State: relaxed

Results
E above lowest polymorph, kJ per mole of atoms: 106.64
Mass density, g cm⁻³: 7.93

abc: 4.4725 4.4725 4.4725
angles: 90.00 90.00 90.00
Last column: nearest neighbours and their distance in Å.
Fractional coordinates of all 5 atoms:
Ta: 0.0000 0.0000 0.0000  6 Co 2.24
Ga: 0.5000 0.5000 0.5000  12 Co 3.16
Co: 0.0000 0.0000 0.5000  2 Ta 2.24
Co: 0.0000 0.5000 0.0000  2 Ta 2.24
Co: 0.5000 0.0000 0.0000  2 Ta 2.24


Material: TaGa2Co3
Method: DFT, PBE
State: relaxed

Results
E above lowest polymorph, kJ per mole of atoms: 3.78
Mass density, g cm⁻³: 10.87

abc: 2.8233 2.8233 9.5315
angles: 90.00 90.00 90.00
Last column: nearest neighbours and their distance in Å.
Fractional coordinates of all 6 atoms:
Ta: 0.0000 0.0000 0.0000  8 Co 2.69, 4 Ta 2.82
Ga: 0.0000 0.0000 0.3423  8 Co 2.48-2.50
Ga: 0.0000 0.0000 0.6577  8 Co 2.48-2.50
Co: 0.5000 0.5000 0.1885  4 Ga 2.48, 4 Ta 2.69
Co: 0.5000 0.5000 0.5000  8 Ga 2.50
Co: 0.5000 0.5000 0.8115  4 Ga 2.48, 4 Ta 2.69


Material: TaGa2Co
Method: DFT, PBE
State: relaxed

Results
Mass density, g cm⁻³: 10.15

abc: 5.5257 5.5257 5.5257
angles: 103.03 103.03 123.30
Last column: nearest neighbours and their distance in Å.
Fractional coordinates of all 8 atoms:
Ta: 0.0000 0.0000 0.0000  2 Co 2.62, 4 Ga 2.71
Ta: 0.7500 0.2500 0.5000  2 Co 2.62, 4 Ga 2.71
Ga: 0.1634 0.6250 0.0384  2 Co 2.35
Ga: 0.3750 0.4134 0.5384  2 Co 2.35
Ga: 0.5866 0.1250 0.9616  2 Co 2.35
Ga: 0.8750 0.8366 0.4616  2 Co 2.35
Co: 0.2500 0.7500 0.5000  4 Ga 2.35, 2 Ta 2.62
Co: 0.5000 0.5000 0.0000  4 Ga 2.35, 2 Ta 2.62


Material: Ta2GaCo
Method: DFT, PBE
State: relaxed

Results
Mass density, g cm⁻³: 13.24

abc: 3.9807 3.9807 3.8817
angles: 90.00 90.00 90.00
Last column: nearest neighbours and their distance in Å.
Fractional coordinates of all 4 atoms:
Ta: 0.0000 0.5000 0.0000  4 Co 2.78, 4 Ga 2.78, 4 Ta 2.81
Ta: 0.5000 0.0000 0.0000  4 Co 2.78, 4 Ga 2.78, 4 Ta 2.81
Ga: 0.0000 0.0000 0.5000  8 Ta 2.78, 4 Co 2.81
Co: 0.5000 0.5000 0.5000  8 Ta 2.78, 4 Ga 2.81


Material: TaGa2Co
Method: DFT, PBE
State: relaxed

Results
Mass density, g cm⁻³: 10.89

abc: 3.8422 3.8422 3.9193
angles: 90.00 90.00 90.00
Last column: nearest neighbours and their distance in Å.
Fractional coordinates of all 4 atoms:
Ta: 0.0000 0.0000 0.0000  4 Co 2.72, 8 Ga 2.74
Ga: 0.0000 0.5000 0.5000  4 Ga 2.72, 4 Co 2.74, 4 Ta 2.74
Ga: 0.5000 0.0000 0.5000  4 Ga 2.72, 4 Co 2.74, 4 Ta 2.74
Co: 0.5000 0.5000 0.0000  4 Ta 2.72, 8 Ga 2.74


Material: Ta2GaCo
Method: DFT, PBE
State: relaxed

Results
Mass density, g cm⁻³: 13.29

abc: 2.8665 2.8665 7.4606
angles: 90.00 90.00 90.00
Last column: nearest neighbours and their distance in Å.
Fractional coordinates of all 4 atoms:
Ta: 0.0000 0.0000 0.0000  4 Co 2.65, 4 Ta 2.87
Ta: 0.5000 0.5000 0.3137  4 Ga 2.83, 8 Ta 2.87-3.10
Ga: 0.0000 0.0000 0.5792  4 Co 2.49
Co: 0.5000 0.5000 0.7722  4 Ga 2.49, 4 Ta 2.65


no.,size of the total moment (Bohr magnetons per cell),formation energy from the elements (eV per atom),DFT total energy (eV/atom)
1,1.873,0.236,-7.004
2,1.442,0.308,-5.945
3,0.000,0.265,-8.194
4,1.813,0.104,-6.149
5,2.004,-0.313,-6.850
6,0.000,-0.163,-6.587
7,0.000,0.650,-8.003
8,0.930,1.341,-5.898
9,0.000,-0.273,-6.811
10,0.000,0.115,-6.138
11,0.864,-0.117,-8.577
12,0.402,-0.149,-6.402
13,0.348,-0.154,-8.613